1.
# PBE PuZnRh, optimized geometry
data_PuZnRh
_chemical_formula_sum 'Pu2 Zn2 Rh2'
_symmetry_space_group_name_H-M 'I 4 m m'
_symmetry_Int_Tables_number 107
_symmetry_space_group_name_Hall 'I 4 -2'
_cell_length_a 3.1326
_cell_length_b 3.1326
_cell_length_c 11.1986
_cell_angle_alpha 90.00
_cell_angle_beta 90.00
_cell_angle_gamma 90.00
loop_
_atom_site_label
_atom_site_type_symbol
_atom_site_fract_x
_atom_site_fract_y
_atom_site_fract_z
_atom_site_occupancy
Pu1 Pu 0.0000 0.0000 0.0000 1
Zn1 Zn 0.0000 0.0000 0.7022 1
Rh1 Rh 0.0000 0.0000 0.3282 1
# **Total DFT energy (no corrections)**: -7.956 eV per atom
# **Formation enthalpy at 0 K**: -0.30 eV per atom



2.
# PBE Sr2TbNpAs4, optimized geometry
data_Sr2TbNpAs4
_chemical_formula_sum 'Sr2 Tb1 Np1 As4'
_symmetry_space_group_name_H-M 'P 1 2/m 1'
_symmetry_Int_Tables_number 10
_symmetry_space_group_name_Hall '-P 2y'
_cell_length_a 7.3358
_cell_length_b 4.2766
_cell_length_c 7.5209
_cell_angle_alpha 90.00
_cell_angle_beta 108.94
_cell_angle_gamma 90.00
loop_
_atom_site_label
_atom_site_type_symbol
_atom_site_fract_x
_atom_site_fract_y
_atom_site_fract_z
_atom_site_occupancy
Sr1 Sr 0.0000 0.0000 0.0000 1
Sr2 Sr 0.5000 0.5000 0.0000 1
Tb1 Tb 0.0000 0.5000 0.5000 1
Np1 Np 0.5000 0.0000 0.5000 1
As1 As 0.2510 0.0000 0.7181 1
As2 As 0.2696 0.5000 0.2853 1
# **Total DFT energy (no corrections)**: -6.026 eV per atom
# **Formation enthalpy at 0 K**: -1.08 eV per atom